[1]
First-principles (GGA-PBE) data for a geometry-optimized KZrMo2 structure, as listed in Alexandria via LeMat-Bulk.

The calculation puts the calculated formation energy at 0.856 eV/atom. The calculation puts the energy above the most stable polymorph in this dataset at 302 meV/atom. The value obtained for the density of states at the Fermi level is 4.01 states/eV/f.u. The calculated density comes out at 6.3 g cm⁻³.

The structure belongs to space group P4/mmm (No. 123); the cell edges are 2.776, 2.776 and 10.963 Å and the angles 90.00°, 90.00° and 90.00°. The asymmetric unit holds K at (0.000, 0.000, 0.000), Zr at (0.000, 0.000, 0.500) and Mo at (0.500, 0.500, 0.283).


[2]
First-principles (GGA-PBE) data for a geometry-optimized PrNdDySn structure, as listed in Alexandria via LeMat-Bulk.

The calculation puts the calculated formation energy at -0.261 eV/atom. The value obtained for the density of states at the Fermi level is 6.88 states/eV/f.u. The calculated density comes out at 7.8 g cm⁻³.

The structure belongs to space group F-43m (No. 216); the cell edges are 7.849, 7.849 and 7.849 Å and the angles 90.00°, 90.00° and 90.00°. The asymmetric unit holds Pr at (0.000, 0.000, 0.000), Nd at (0.000, 0.000, 0.500), Dy at (0.250, 0.250, 0.750) and Sn at (0.250, 0.250, 0.250).


[3]
First-principles (GGA-PBE) data for a geometry-optimized SrMg2 structure, as listed in Alexandria via LeMat-Bulk.

The calculation puts the calculated formation energy at -0.017 eV/atom. The value obtained for the density of states at the Fermi level is 1.98 states/eV/f.u. The calculated density comes out at 2.4 g cm⁻³.

The structure belongs to space group C2/c (No. 15); the cell edges are 11.525, 5.863 and 5.526 Å and the angles 90.00°, 92.61° and 90.00°. The asymmetric unit holds Sr at (0.000, 0.219, 0.250) and Mg at (0.194, 0.332, 0.753).


[4]
First-principles (GGA-PBE) data for a geometry-optimized SrSiMo2 structure, as listed in Alexandria via LeMat-Bulk.

The uncorrected formation energy is 0.267 eV/atom. The value obtained for the density of states at the Fermi level is 3.58 states/eV/f.u. The calculated density comes out at 5.8 g cm⁻³.

The structure belongs to space group Cm (No. 8); the cell edges are 8.276, 3.305 and 6.592 Å and the angles 90.00°, 99.90° and 90.00°. The asymmetric unit holds Sr at (0.000, 0.000, 0.000), Si at (0.248, 0.500, 0.334), Mo at (0.213, 0.000, 0.627) and Mo at (0.481, 0.000, 0.482).


[5]
First-principles (GGA-PBE) data for a geometry-optimized Co2SeIN structure, as listed in Alexandria via LeMat-Bulk.

The uncorrected formation energy is 0.736 eV/atom. The value obtained for the density of states at the Fermi level is 5.81 states/eV/f.u. The calculated density comes out at 4.7 g cm⁻³.

The structure belongs to space group P4/mmm (No. 123); the cell edges are 3.767, 3.767 and 8.353 Å and the angles 90.00°, 90.00° and 90.00°. The asymmetric unit holds Co at (0.000, 0.500, 0.000), Se at (0.000, 0.000, 0.500), I at (0.500, 0.500, 0.500) and N at (0.500, 0.500, 0.000).


[6]
First-principles (GGA-PBE) data for a geometry-optimized Ca2ZrMn structure, as listed in Alexandria via LeMat-Bulk.

The calculation puts the calculated formation energy at 0.200 eV/atom. The calculation puts the energy above the most stable polymorph in this dataset at 0 meV/atom. The value obtained for the density of states at the Fermi level is 3.47 states/eV/f.u. The calculated density comes out at 3.4 g cm⁻³.

The structure belongs to space group P4mm (No. 99); the cell edges are 3.565, 3.565 and 8.671 Å and the angles 90.00°, 90.00° and 90.00°. The asymmetric unit holds Ca at (0.000, 0.000, 0.000), Ca at (0.500, 0.500, 0.356), Zr at (0.000, 0.000, 0.634) and Mn at (0.500, 0.500, 0.752).


[7]
First-principles (GGA-PBE) data for a geometry-optimized Rb2Ti4Cu structure, as listed in Alexandria via LeMat-Bulk.

The calculation puts the calculated formation energy at 1.228 eV/atom. The value obtained for the density of states at the Fermi level is 14.63 states/eV/f.u. The calculated density comes out at 2.9 g cm⁻³.

The structure belongs to space group I4/mmm (No. 139); the cell edges are 4.849, 4.849 and 20.839 Å and the angles 90.00°, 90.00° and 90.00°. The asymmetric unit holds Rb at (0.000, 0.000, 0.173), Ti at (0.000, 0.000, 0.392), Ti at (0.000, 0.500, 0.000) and Cu at (0.000, 0.000, 0.500).


[8]
First-principles (GGA-PBE) data for a geometry-optimized HoGa4Ir2Pd structure, as listed in Alexandria via LeMat-Bulk.

The calculation puts the calculated formation energy at -0.558 eV/atom. The value obtained for the density of states at the Fermi level is 4.42 states/eV/f.u. The calculated density comes out at 11.5 g cm⁻³.

The structure belongs to space group R-3m (No. 166, hexagonal axes); the cell edges are 4.2849, 4.2849 and 25.3699 Å and the angles 90.00°, 90.00° and 120.00°. The asymmetric unit holds Ho at (0.0000, 0.0000, 0.0000), Ga at (0.0000, 0.0000, 0.1296), Ga at (0.0000, 0.0000, 0.3963), Ir at (0.0000, 0.0000, 0.2370) and Pd at (0.0000, 0.0000, 0.5000).


[9]
First-principles (GGA-PBE) data for a geometry-optimized Pm12DyEr5 structure, as listed in Alexandria via LeMat-Bulk.

The calculation puts the calculated formation energy at 0.014 eV/atom. The value obtained for the density of states at the Fermi level is 26.78 states/eV/f.u. The calculated density comes out at 7.6 g cm⁻³.

The structure belongs to space group C2/m (No. 12); the cell edges are 12.157, 17.220 and 5.707 Å and the angles 90.00°, 90.01° and 90.00°. The asymmetric unit holds Pm at (0.150, 0.180, 0.003), Pm at (0.150, 0.320, 0.497), Pm at (0.201, 0.000, 0.497), Pm at (0.202, 0.500, 0.003), Dy at (0.000, 0.500, 0.500), Er at (0.000, 0.000, 0.000), Er at (0.000, 0.135, 0.500) and Er at (0.000, 0.365, 0.000).


[10]
First-principles (GGA-PBE) data for a geometry-optimized Fe2BiN2 structure, as listed in Alexandria via LeMat-Bulk.

The uncorrected formation energy is 0.820 eV/atom. The calculation puts the energy above the most stable polymorph in this dataset at 376 meV/atom. The value obtained for the density of states at the Fermi level is 5.51 states/eV/f.u. The calculated density comes out at 7.3 g cm⁻³.

The structure belongs to space group P4/mbm (No. 127); the cell edges are 7.067, 7.067 and 3.183 Å and the angles 90.00°, 90.00° and 90.00°. The asymmetric unit holds Fe at (0.121, 0.379, 0.000), Bi at (0.000, 0.000, 0.000) and N at (0.066, 0.566, 0.500).


[11]
First-principles (GGA-PBE) data for a geometry-optimized PmHoCuPt structure, as listed in Alexandria via LeMat-Bulk.

The calculation puts the calculated formation energy at -0.759 eV/atom. The calculation puts the energy above the most stable polymorph in this dataset at 0 meV/atom. The value obtained for the density of states at the Fermi level is 2.87 states/eV/f.u. The calculated density comes out at 10.4 g cm⁻³.

The structure belongs to space group Amm2 (No. 38); the cell edges are 4.442, 3.823 and 10.714 Å and the angles 90.00°, 90.00° and 90.00°. The asymmetric unit holds Pm at (0.000, 0.000, 0.000), Ho at (0.500, 0.000, 0.277), Cu at (0.500, 0.000, 0.564) and Pt at (0.000, 0.000, 0.720).


[12]
First-principles (GGA-PBE) data for a geometry-optimized Li2CoAs structure, as listed in Alexandria via LeMat-Bulk.

The calculation puts the calculated formation energy at -0.016 eV/atom. The value obtained for the density of states at the Fermi level is 1.65 states/eV/f.u. The calculated density comes out at 4.3 g cm⁻³.

The structure belongs to space group P4/mmm (No. 123); the cell edges are 2.663, 2.663 and 8.013 Å and the angles 90.00°, 90.00° and 90.00°. The asymmetric unit holds Li at (0.000, 0.000, 0.249), Co at (0.500, 0.500, 0.500) and As at (0.500, 0.500, 0.000).


Copy entry 1 word for word.
First-principles (GGA-PBE) data for a geometry-optimized KZrMo2 structure, as listed in Alexandria via LeMat-Bulk.

The calculation puts the calculated formation energy at 0.856 eV/atom. The calculation puts the energy above the most stable polymorph in this dataset at 302 meV/atom. The value obtained for the density of states at the Fermi level is 4.01 states/eV/f.u. The calculated density comes out at 6.3 g cm⁻³.

The structure belongs to space group P4/mmm (No. 123); the cell edges are 2.776, 2.776 and 10.963 Å and the angles 90.00°, 90.00° and 90.00°. The asymmetric unit holds K at (0.000, 0.000, 0.000), Zr at (0.000, 0.000, 0.500) and Mo at (0.500, 0.500, 0.283).